# 1
DFT (GGA-PBE) results for a geometry-optimized AlFe structure.

The value obtained for the energy of formation from the pure elements is -251 meV per atom. As for the uncorrected energy: -6.3540 eV per atom.

a b c (Å): 4.011 12.636 2.928
angles (deg): 90.00 90.00 90.00
Space group Cmmm (No. 65)
Inequivalent atoms, fractional coordinates:
1 Al 0.000 0.000 0.000 (multiplicity 2)
2 Al 0.000 0.180 0.500 (multiplicity 4)
3 Fe 0.000 0.345 0.000 (multiplicity 4)
4 Fe 0.000 0.500 0.500 (multiplicity 2)



# 2
DFT (GGA-PBE) results for a geometry-optimized Al2Fe structure.

The value obtained for the energy of formation from the pure elements is -300 meV per atom. As for the uncorrected energy: -5.6160 eV per atom.

a b c (Å): 10.905 10.905 10.905
angles (deg): 90.00 90.00 90.00
Space group Fd-3m (No. 227, origin choice 2)
Inequivalent atoms, fractional coordinates:
1 Al 0.000 0.000 0.000 (multiplicity 16)
2 Al 0.076 0.375 0.875 (multiplicity 48)
3 Fe 0.033 0.033 0.217 (multiplicity 32)



# 3
DFT (GGA-PBE) results for a geometry-optimized Al6Fe5 structure.

The value obtained for the energy of formation from the pure elements is -285 meV per atom. As for the uncorrected energy: -6.1734 eV per atom.

a b c (Å): 4.019 5.962 11.883
angles (deg): 90.00 90.00 90.00
Space group Immm (No. 71)
Inequivalent atoms, fractional coordinates:
1 Al 0.000 0.210 0.000 (multiplicity 4)
2 Al 0.000 0.270 0.334 (multiplicity 8)
3 Fe 0.000 0.000 0.177 (multiplicity 4)
4 Fe 0.000 0.000 0.500 (multiplicity 2)
5 Fe 0.000 0.500 0.146 (multiplicity 4)



# 4
DFT (GGA-PBE) results for a geometry-optimized AlFe structure.

The value obtained for the energy of formation from the pure elements is 463 meV per atom. As for the uncorrected energy: -5.6395 eV per atom.

a b c (Å): 2.6501 2.6501 4.9216
angles (deg): 90.00 90.00 120.00
Space group P6/mmm (No. 191)
Inequivalent atoms, fractional coordinates:
1 Al 0.0000 0.0000 0.0000 (multiplicity 1)
2 Fe 0.0000 0.0000 0.5000 (multiplicity 1)



Question: Which formula does entry 2 have?
Answer: Al2Fe